--- w ---
# CrReSCl2 | Alexandria | PBE-GGA | relaxed
data_CrReSCl2
_chemical_formula_sum 'Cr1 Re1 S1 Cl2'
_cell_length_a 4.972
_cell_length_b 4.972
_cell_length_c 4.466
_cell_angle_alpha 90.00
_cell_angle_beta 90.00
_cell_angle_gamma 90.00
_space_group_name_H-M_alt 'P 4/m m m'
_space_group_IT_number 123
_space_group_name_Hall '-P 4 2'
loop_
_atom_site_label
_atom_site_fract_x
_atom_site_fract_y
_atom_site_fract_z
Cr1 0.000 0.000 0.000
Re1 0.500 0.500 0.500
S1 0.500 0.500 0.000
Cl1 0.000 0.500 0.500
# - spin magnetization (μB/cell) = 4.44

***

--- x ---
# CrReSCl2 | Alexandria | PBE-GGA | relaxed
data_CrReSCl2
_chemical_formula_sum 'Cr1 Re1 S1 Cl2'
_cell_length_a 4.632
_cell_length_b 4.632
_cell_length_c 5.016
_cell_angle_alpha 90.00
_cell_angle_beta 90.00
_cell_angle_gamma 90.00
_space_group_name_H-M_alt 'P 4/m m m'
_space_group_IT_number 123
_space_group_name_Hall '-P 4 2'
loop_
_atom_site_label
_atom_site_fract_x
_atom_site_fract_y
_atom_site_fract_z
Cr1 0.000 0.000 0.000
Re1 0.500 0.500 0.500
S1 0.000 0.000 0.500
Cl1 0.000 0.500 0.000
# - spin magnetization (μB/cell) = 1.73

***

It comes down to w, which is 0.252 eV/atom more stable than the next structure.

***

--- w ---
# CrRh2Cl | Alexandria | PBE-GGA | relaxed
data_CrRh2Cl
_chemical_formula_sum 'Cr1 Rh2 Cl1'
_cell_length_a 2.752
_cell_length_b 2.752
_cell_length_c 8.039
_cell_angle_alpha 90.00
_cell_angle_beta 90.00
_cell_angle_gamma 90.00
_space_group_name_H-M_alt 'P 4 m m'
_space_group_IT_number 99
loop_
_space_group_symop_operation_xyz
'x,y,z'
'-y,x,z'
'-x,-y,z'
'y,-x,z'
'-x,y,z'
'y,x,z'
'x,-y,z'
'-y,-x,z'
loop_
_atom_site_label
_atom_site_fract_x
_atom_site_fract_y
_atom_site_fract_z
Cr1 0.000 0.000 0.000
Rh1 0.000 0.000 0.454
Rh2 0.500 0.500 0.209
Cl1 0.500 0.500 0.818
# - spin magnetization (μB/cell) = 0.63

***

--- x ---
# CrRh2Cl | Alexandria | PBE-GGA | relaxed
data_CrRh2Cl
_chemical_formula_sum 'Cr3 Rh6 Cl3'
_cell_length_a 2.8035
_cell_length_b 2.8035
_cell_length_c 25.5893
_cell_angle_alpha 90.00
_cell_angle_beta 90.00
_cell_angle_gamma 120.00
_space_group_name_H-M_alt 'R 3 m'
_space_group_IT_number 160
_space_group_name_Hall 'R 3 -2"'
loop_
_atom_site_label
_atom_site_fract_x
_atom_site_fract_y
_atom_site_fract_z
Cr1 0.0000 0.0000 0.0000
Rh1 0.0000 0.0000 0.4991
Rh2 0.0000 0.0000 0.7451
Cl1 0.0000 0.0000 0.2683
# - spin magnetization (μB/cell) = 1.45

***

--- y ---
# CrRh2Cl | Alexandria | PBE-GGA | relaxed
data_CrRh2Cl
_chemical_formula_sum 'Cr1 Rh2 Cl1'
_cell_length_a 3.017
_cell_length_b 3.032
_cell_length_c 6.683
_cell_angle_alpha 90.00
_cell_angle_beta 90.00
_cell_angle_gamma 90.00
_space_group_name_H-M_alt 'P m m m'
_space_group_IT_number 47
loop_
_space_group_symop_operation_xyz
'x,y,z'
'-x,-y,-z'
'-x,-y,z'
'x,y,-z'
'x,-y,-z'
'-x,y,z'
'-x,y,-z'
'x,-y,z'
loop_
_atom_site_label
_atom_site_fract_x
_atom_site_fract_y
_atom_site_fract_z
Cr1 0.000 0.000 0.000
Rh1 0.500 0.500 0.207
Cl1 0.000 0.000 0.500
# - spin magnetization (μB/cell) = 1.76

***

--- z ---
# CrRh2Cl | Alexandria | PBE-GGA | relaxed
data_CrRh2Cl
_chemical_formula_sum 'Cr1 Rh2 Cl1'
_cell_length_a 2.855
_cell_length_b 4.488
_cell_length_c 4.676
_cell_angle_alpha 90.00
_cell_angle_beta 90.00
_cell_angle_gamma 90.00
_space_group_name_H-M_alt 'P m m m'
_space_group_IT_number 47
loop_
_space_group_symop_operation_xyz
'x,y,z'
'-x,-y,-z'
'-x,-y,z'
'x,y,-z'
'x,-y,-z'
'-x,y,z'
'-x,y,-z'
'x,-y,z'
loop_
_atom_site_label
_atom_site_fract_x
_atom_site_fract_y
_atom_site_fract_z
Cr1 0.000 0.000 0.000
Rh1 0.000 0.500 0.500
Rh2 0.500 0.500 0.000
Cl1 0.500 0.000 0.500
# - spin magnetization (μB/cell) = 3.42

***

It comes down to y, which is 0.026 eV/atom more stable than the next structure.

***

--- w ---
# CrRhCl | Alexandria | PBE-GGA | relaxed
data_CrRhCl
_chemical_formula_sum 'Cr1 Rh1 Cl1'
_cell_length_a 4.1315
_cell_length_b 4.1315
_cell_length_c 3.1554
_cell_angle_alpha 90.00
_cell_angle_beta 90.00
_cell_angle_gamma 120.00
_space_group_name_H-M_alt 'P 3 m 1'
_space_group_IT_number 156
loop_
_space_group_symop_operation_xyz
'x,y,z'
'-y,x-y,z'
'-x+y,-x,z'
'-y,-x,z'
'-x+y,y,z'
'x,x-y,z'
loop_
_atom_site_label
_atom_site_fract_x
_atom_site_fract_y
_atom_site_fract_z
Cr1 0.0000 0.0000 0.0000
Rh1 0.6667 0.3333 0.3994
Cl1 0.3333 0.6667 0.6585
# - spin magnetization (μB/cell) = 3.64

***

--- x ---
# CrRhCl | Alexandria | PBE-GGA | relaxed
data_CrRhCl
_chemical_formula_sum 'Cr4 Rh4 Cl4'
_cell_length_a 3.615
_cell_length_b 4.688
_cell_length_c 11.901
_cell_angle_alpha 90.00
_cell_angle_beta 90.00
_cell_angle_gamma 90.00
_space_group_name_H-M_alt 'F m m 2'
_space_group_IT_number 42
_space_group_name_Hall 'F 2 -2'
loop_
_atom_site_label
_atom_site_fract_x
_atom_site_fract_y
_atom_site_fract_z
Cr1 0.000 0.000 0.000
Rh1 0.000 0.000 0.636
Cl1 0.000 0.000 0.359
# - spin magnetization (μB/cell) = 11.68

***

--- y ---
# CrRhCl | Alexandria | PBE-GGA | relaxed
data_CrRhCl
_chemical_formula_sum 'Cr2 Rh2 Cl2'
_cell_length_a 2.810
_cell_length_b 2.810
_cell_length_c 11.590
_cell_angle_alpha 90.00
_cell_angle_beta 90.00
_cell_angle_gamma 90.00
_space_group_name_H-M_alt 'I 4 m m'
_space_group_IT_number 107
_space_group_name_Hall 'I 4 -2'
loop_
_atom_site_label
_atom_site_fract_x
_atom_site_fract_y
_atom_site_fract_z
Cr1 0.000 0.000 0.000
Rh1 0.000 0.000 0.636
Cl1 0.000 0.000 0.368
# - spin magnetization (μB/cell) = 1.16

***

It comes down to x, which is 0.007 eV/atom more stable than the next structure.